Density functional theory data (GGA-PBE) for a relaxed structure of Er2ScBi2.

Cell lengths 4.993, 17.560, 6.346 Å; angles 90.00, 90.00, 90.00 degrees
Space group Cmc2_1 (No. 36)
Inequivalent atoms, fractional coordinates:
Er (0.000, 0.000, 0.000)
Er (0.000, 0.196, 0.251)
Sc (0.000, 0.404, 0.250)
Bi (0.000, 0.184, 0.751)
Bi (0.000, 0.419, 0.750)

Values from the calculation:
theoretical density = 9.5 g/cm3
energy of formation = -0.579 eV/atom
V = 27.8 Å³/atom



Density functional theory data (GGA-PBE) for a relaxed structure of LiNpTiO4.

Cell lengths 6.089, 6.983, 8.913 Å; angles 90.00, 90.00, 90.00 degrees
Space group Imma (No. 74)
Inequivalent atoms, fractional coordinates:
Li (0.000, 0.250, 0.105)
Np (0.000, 0.000, 0.500)
Ti (0.250, 0.250, 0.750)
O (0.000, 0.051, 0.747)
O (0.236, 0.250, 0.518)

Values from the calculation:
theoretical density = 6.2 g/cm3
formation energy without anion corrections = -2700 meV/atom
V = 13.5 Å³/atom



Density functional theory data (GGA-PBE) for a relaxed structure of LuZnPd.

Cell lengths 7.2272, 7.2272, 3.7806 Å; angles 90.00, 90.00, 120.00 degrees
Space group P-62m (No. 189)
Inequivalent atoms, fractional coordinates:
Lu (0.0000, 0.4015, 0.0000)
Zn (0.0000, 0.7437, 0.5000)
Pd (0.0000, 0.0000, 0.0000)
Pd (0.3333, 0.6667, 0.5000)

Values from the calculation:
theoretical density = 10.1 g/cm3
energy of formation = -0.763 eV/atom
relative energy among the computed polymorphs = 0 meV/atom
V = 19.0 Å³/atom



Density functional theory data (GGA-PBE) for a relaxed structure of SnGeBRh2.

Cell lengths 4.960, 4.960, 4.108 Å; angles 90.00, 90.00, 90.00 degrees
Space group P4/mmm (No. 123)
Inequivalent atoms, fractional coordinates:
Sn (0.000, 0.000, 0.000)
Ge (0.500, 0.500, 0.500)
B (0.000, 0.000, 0.500)
Rh (0.000, 0.500, 0.000)

Values from the calculation:
theoretical density = 6.7 g/cm3
energy of formation = 1.334 eV/atom
V = 20.2 Å³/atom



Density functional theory data (GGA-PBE) for a relaxed structure of Ba4Sb2H3.

Cell lengths 7.742, 15.922, 9.030 Å; angles 90.00, 90.00, 90.00 degrees
Space group Cmce (No. 64)
Inequivalent atoms, fractional coordinates:
Ba (0.000, 0.203, 0.106)
Ba (0.250, 0.043, 0.750)
Sb (0.000, 0.102, 0.440)
H (0.000, 0.000, 0.000)
H (0.250, 0.211, 0.750)

Values from the calculation:
theoretical density = 4.7 g/cm3
final energy = -3.520 eV/atom
V = 30.9 Å³/atom



Density functional theory data (GGA-PBE) for a relaxed structure of Ti2ZnO4.

Cell lengths 2.903, 9.630, 10.142 Å; angles 90.00, 90.00, 90.00 degrees
Space group Cmcm (No. 63)
Inequivalent atoms, fractional coordinates:
Ti (0.000, 0.128, 0.070)
Zn (0.000, 0.381, 0.250)
O (0.000, 0.036, 0.250)
O (0.000, 0.226, 0.615)
O (0.000, 0.500, 0.000)

Values from the calculation:
theoretical density = 5.3 g/cm3
formation energy without anion corrections = -2386 meV/atom
relative energy among the computed polymorphs = 79 meV/atom
V = 10.1 Å³/atom



Density functional theory data (GGA-PBE) for a relaxed structure of BeHgSb2N.

Cell lengths 5.480, 5.480, 4.343 Å; angles 90.00, 90.00, 90.00 degrees
Space group P4/mmm (No. 123)
Inequivalent atoms, fractional coordinates:
Be (0.000, 0.000, 0.000)
Hg (0.000, 0.000, 0.500)
Sb (0.000, 0.500, 0.500)
N (0.500, 0.500, 0.000)

Values from the calculation:
theoretical density = 5.9 g/cm3
formation energy without anion corrections = 1879 meV/atom
V = 26.1 Å³/atom



Density functional theory data (GGA-PBE) for a relaxed structure of AcMgSb3.

Cell lengths 5.408, 5.408, 5.408 Å; angles 90.00, 90.00, 90.00 degrees
Space group Pm-3m (No. 221)
Inequivalent atoms, fractional coordinates:
Ac (0.000, 0.000, 0.000)
Mg (0.500, 0.500, 0.500)
Sb (0.000, 0.500, 0.500)

Values from the calculation:
theoretical density = 6.5 g/cm3
formation energy without anion corrections = -180 meV/atom
relative energy among the computed polymorphs = 402 meV/atom
V = 31.6 Å³/atom



Density functional theory data (GGA-PBE) for a relaxed structure of NiPb2Br.

Cell lengths 3.454, 3.454, 8.247 Å; angles 90.00, 90.00, 90.00 degrees
Space group P4mm (No. 99)
Inequivalent atoms, fractional coordinates:
Ni (0.000, 0.000, 0.000)
Pb (0.000, 0.000, 0.485)
Pb (0.500, 0.500, 0.170)
Br (0.500, 0.500, 0.783)

Values from the calculation:
theoretical density = 9.3 g/cm3
formation energy without anion corrections = 141 meV/atom
relative energy among the computed polymorphs = 233 meV/atom
V = 24.6 Å³/atom



Density functional theory data (GGA-PBE) for a relaxed structure of CsNpHg2Br6.

Cell lengths 8.060, 8.076, 8.087 Å; angles 69.42, 69.31, 69.27 degrees
Space group P-1 (No. 2)
Inequivalent atoms, fractional coordinates:
Cs (0.000, 0.000, 0.000)
Np (0.500, 0.500, 0.500)
Hg (0.222, 0.221, 0.219)
Br (0.186, 0.393, 0.666)
Br (0.334, 0.814, 0.606)
Br (0.393, 0.664, 0.187)

Values from the calculation:
theoretical density = 4.7 g/cm3
formation energy without anion corrections = -1007 meV/atom
V = 44.5 Å³/atom



Density functional theory data (GGA-PBE) for a relaxed structure of ZrRe3Au.

Cell lengths 4.759, 4.759, 4.759 Å; angles 90.00, 90.00, 90.00 degrees
Space group Pm-3m (No. 221)
Inequivalent atoms, fractional coordinates:
Zr (0.000, 0.000, 0.000)
Re (0.000, 0.000, 0.500)
Au (0.500, 0.500, 0.500)

Values from the calculation:
theoretical density = 13.0 g/cm3
energy of formation = 2.647 eV/atom
relative energy among the computed polymorphs = 221 meV/atom
V = 21.6 Å³/atom



Density functional theory data (GGA-PBE) for a relaxed structure of AgAsP4.

Cell lengths 7.821, 7.821, 7.821 Å; angles 90.00, 90.00, 90.00 degrees
Space group F-43m (No. 216)
Inequivalent atoms, fractional coordinates:
Ag (0.000, 0.000, 0.000)
As (0.250, 0.250, 0.750)
P (0.148, 0.148, 0.352)

Values from the calculation:
theoretical density = 4.3 g/cm3
energy of formation = 0.690 eV/atom
V = 19.9 Å³/atom



> Which value of V does entry 11 give?

21.6 Å³/atom